PBE Sc7AgPt4, relaxed; DOS at the Fermi energy = 10.42 states/eV/f.u.; ΔE_f = -72.2 kJ per mole of atoms
1.0
6.535 -2.490 0.000
6.535 2.490 0.000
-5.720 0.000 7.660
Sc Ag Pt
7 1 4
direct
0.000 0.000 0.000
0.168 0.168 0.615
0.285 0.285 0.127
0.427 0.427 0.653
0.573 0.573 0.347
0.715 0.715 0.873
0.832 0.832 0.385
0.500 0.500 0.000
0.067 0.067 0.780
0.208 0.208 0.342
0.792 0.792 0.658
0.933 0.933 0.220